No. 1
Sc2GeI, relaxed, DFT PBE-GGA; E above lowest polymorph = 0.3779 eV per atom; spin magnetization = 0.0 μB/f.u.; ΔE_f (raw) = -1.10 eV per formula unit; density = 3.71 Mg/m³
1.0
-3.149 3.149 6.524
3.149 -3.149 6.524
3.149 3.149 -6.524
Sc Ge I
4 2 2
Cartesian
4.723 1.240 -1.631
1.240 1.574 1.631
-1.574 1.909 4.893
1.909 1.574 8.155
0.000 0.000 0.000
0.000 3.149 3.262
3.149 0.000 3.262
0.000 0.000 6.524



No. 2
Mg6CrBi, relaxed, DFT PBE-GGA; E above lowest polymorph = 0.0000 eV per atom; spin magnetization = 4.1 μB/f.u.; ΔH_f (0 K) = 91 meV/atom; density = 3.73 Mg/m³
1.0
5.068 0.000 0.000
0.000 3.194 5.588
0.000 -3.194 5.588
Mg Cr Bi
6 1 1
Cartesian
0.000 0.000 0.000
0.000 -1.490 2.685
0.000 1.490 2.685
0.000 0.000 5.434
2.534 -1.580 6.424
2.534 1.580 6.424
2.534 0.000 3.630
2.534 0.000 9.240